# 1
CeRe4Si4, optimized geometry, DFT PBE; E_tot = -80.2 eV per formula unit; symmetry = No. 86; formation energy without anion corrections = -0.313 eV/atom
1.0
8.108 0.000 0.000
0.000 8.108 0.000
0.000 0.000 4.688
Ce Re Si
2 8 8
Direct
0.250 0.250 0.250 Ce
0.750 0.750 0.750 Ce
0.124 0.871 0.663 Re
0.129 0.624 0.163 Re
0.371 0.876 0.163 Re
0.376 0.629 0.663 Re
0.624 0.371 0.337 Re
0.629 0.124 0.837 Re
0.871 0.376 0.837 Re
0.876 0.129 0.337 Re
0.049 0.906 0.166 Si
0.094 0.549 0.666 Si
0.406 0.951 0.666 Si
0.451 0.594 0.166 Si
0.549 0.406 0.834 Si
0.594 0.049 0.334 Si
0.906 0.451 0.334 Si
0.951 0.094 0.834 Si

***

# 2
Ce2ReSi5, optimized geometry, DFT PBE; E_tot = -55.2 eV per formula unit; symmetry = No. 107; formation energy without anion corrections = -0.477 eV/atom
1.0
-2.944 2.944 4.400
2.944 -2.944 4.400
2.944 2.944 -4.400
Ce Re Si
2 1 5
Direct
0.000 0.500 0.500 Ce
0.500 0.000 0.500 Ce
0.279 0.279 0.000 Re
0.545 0.545 0.583 Si
0.545 0.963 0.000 Si
0.548 0.548 0.000 Si
0.963 0.545 0.000 Si
0.963 0.963 0.417 Si

***

# 3
Ce2ReSi2, optimized geometry, DFT PBE; E_tot = -37.9 eV per formula unit; symmetry = No. 12; formation energy without anion corrections = -0.550 eV/atom
1.0
5.342 -2.143 0.000
5.342 2.143 0.000
-5.084 0.000 8.925
Ce Re Si
4 2 4
Direct
0.085 0.085 0.388 Ce
0.326 0.326 0.808 Ce
0.674 0.674 0.192 Ce
0.915 0.915 0.612 Ce
0.347 0.347 0.121 Re
0.653 0.653 0.879 Re
0.084 0.084 0.942 Si
0.380 0.380 0.380 Si
0.620 0.620 0.620 Si
0.916 0.916 0.058 Si

***

# 4
CeReSi, optimized geometry, DFT PBE; E_tot = -24.0 eV per formula unit; symmetry = No. 166; formation energy without anion corrections = -0.068 eV/atom
1.0
2.055 1.186 8.492
-2.055 1.186 8.492
0.000 -2.373 8.492
Ce Re Si
2 2 2
Direct
0.122 0.122 0.122 Ce
0.878 0.878 0.878 Ce
0.373 0.373 0.373 Re
0.627 0.627 0.627 Re
0.276 0.276 0.276 Si
0.724 0.724 0.724 Si